(1)
CrMoSeN2 GGA-PBE optimized geometry; size of the total moment = 4.31 μB per cell; VASP energy = -7.675 eV per atom; formation energy without anion corrections = 0.44 eV per atom
1.0
3.878 0.000 0.000
0.000 3.878 0.000
0.000 0.000 5.395
Cr Mo Se N
1 1 1 2
Cartesian
0.000 0.000 0.000
1.939 1.939 2.697
1.939 1.939 0.000
0.000 1.939 2.697
1.939 0.000 2.697

=====

(2)
EuThCdCu GGA-PBE optimized geometry; energy of formation from the pure elements = -0.11 eV/f.u.; size of the total moment = 7.20 μB per cell; VASP energy = -5.703 eV per atom
1.0
0.000 3.748 3.748
3.748 0.000 3.748
3.748 3.748 0.000
Eu Th Cd Cu
1 1 1 1
Cartesian
0.000 0.000 0.000
3.748 3.748 3.748
1.874 1.874 1.874
5.622 5.622 5.622

=====

(3)
RuRh2W2 GGA-PBE optimized geometry; energy of formation from the pure elements = -0.04 eV/f.u.; size of the total moment = 0.00 μB per cell; VASP energy = -9.984 eV per atom
1.0
1.393 -9.817 0.000
1.393 9.817 0.000
0.000 0.000 2.804
Ru Rh W
1 2 2
Cartesian
0.000 0.000 0.000
1.393 6.075 0.000
1.393 -6.075 0.000
1.393 1.917 1.402
1.393 -1.917 1.402

=====

(4)
Na2Hg5BiPb GGA-PBE optimized geometry; energy of formation from the pure elements = -0.18 eV/f.u.; size of the total moment = 0.00 μB per cell; VASP energy = -1.324 eV per atom
1.0
-4.668 4.668 6.036
4.668 -4.668 6.036
4.668 4.668 -6.036
Na Hg Bi Pb
4 10 2 2
Cartesian
5.726 1.058 0.000
1.058 3.610 0.000
3.610 1.058 6.036
-1.058 3.610 6.036
0.000 0.000 0.000
2.792 1.876 -1.584
2.792 -1.876 4.452
2.792 1.876 1.584
2.792 -1.876 7.621
0.000 0.000 6.036
1.876 6.544 -1.584
1.876 2.792 4.452
1.876 6.544 1.584
1.876 2.792 7.621
4.668 0.000 3.018
0.000 4.668 3.018
0.000 0.000 3.018
0.000 0.000 9.054

=====

(5)
Sm2Ho6ErTm3 GGA-PBE optimized geometry; energy of formation from the pure elements = 0.25 eV/f.u.; size of the total moment = 0.00 μB per cell; VASP energy = -4.553 eV per atom
1.0
3.058 -5.290 0.000
3.058 5.290 0.000
-2.030 0.000 11.518
Sm Ho Er Tm
2 6 1 3
Cartesian
3.058 3.526 0.000
3.058 -3.526 0.000
0.005 1.760 8.606
1.028 0.000 2.912
0.005 -1.760 8.606
4.080 1.760 2.912
3.058 0.000 8.606
4.080 -1.760 2.912
3.058 0.000 0.000
-1.015 0.000 5.759
2.043 1.760 5.759
2.043 -1.760 5.759

=====

(6)
PmPr2NdEr5 GGA-PBE optimized geometry; energy of formation from the pure elements = 2.26 eV/f.u.; size of the total moment = 0.00 μB per cell; VASP energy = -4.404 eV per atom
1.0
-4.353 4.353 7.807
4.353 -4.353 7.807
4.353 4.353 -7.807
Pm Pr Nd Er
2 4 2 10
Cartesian
4.353 0.000 3.904
0.000 4.353 3.904
5.379 1.026 0.000
1.026 3.327 0.000
3.327 1.026 7.807
-1.026 3.327 7.807
0.000 0.000 3.904
0.000 0.000 11.711
0.000 0.000 0.000
2.523 1.830 -2.161
2.523 -1.830 5.646
2.523 1.830 2.161
2.523 -1.830 9.968
0.000 0.000 7.807
1.830 6.183 -2.161
1.830 2.523 5.646
1.830 6.183 2.161
1.830 2.523 9.968